[1]
UTeHS after structural relaxation. Source: the Alexandria database, functional GGA-PBE.

Size of the total moment: 1.00 μB/f.u.
V: 22.67 Å³ per atom
Energy: -6.259 eV/atom
D(E_F): 3.31 states/eV/f.u.

Lattice parameters (Å, degrees): 3.8482 3.8482 7.4079 90.11 104.95 120.00
With the nearest neighbours (Å) after each atom.
Atoms (fractional coordinates):
U 0.8225 0.2758 0.0983  3 H 2.23
Te 0.3525 0.0418 0.3943  3 H 2.95, 3 U 3.05
H 0.5035 0.6164 0.1199  3 U 2.23
S 0.0135 0.8705 0.8840  3 U 2.69, 3 H 2.78

[2]
Y2TeH2S after structural relaxation. Source: the Alexandria database, functional GGA-PBE.

Size of the total moment: 0.00 μB/f.u.
V: 17.37 Å³ per atom
Energy: -5.804 eV/atom
D(E_F): 0.00 states/eV/f.u.

Lattice parameters (Å, degrees): 3.8770 3.8770 8.0066 90.00 90.00 120.00
With the nearest neighbours (Å) after each atom.
Atoms (fractional coordinates):
Y 0.3333 0.6667 0.7255  3 H 2.24
Y 0.6667 0.3333 0.2745  3 H 2.24
Te 0.0000 0.0000 0.0000  6 H 3.07, 6 Y 3.14
H 0.3333 0.6667 0.2629  3 Y 2.24
H 0.6667 0.3333 0.7371  3 Y 2.24
S 0.0000 0.0000 0.5000  6 Y 2.88, 6 H 2.94

[3]
ThHS after structural relaxation. Source: the Alexandria database, functional GGA-PBE.

Size of the total moment: 0.00 μB/f.u.
V: 19.43 Å³ per atom
Energy: -6.171 eV/atom
D(E_F): 1.10 states/eV/f.u.

Lattice parameters (Å, degrees): 4.1387 5.6780 5.3771 90.00 112.69 90.00
With the nearest neighbours (Å) after each atom.
Atoms (fractional coordinates):
Th 0.1494 0.2500 0.2989  2 H 2.21
Th 0.8506 0.7500 0.7011  2 H 2.21
H 0.5717 0.2500 0.1439  2 Th 2.21
H 0.4283 0.7500 0.8561  2 Th 2.21
S 0.8575 0.2500 0.7140  3 H 2.83-2.98, 5 Th 2.84-2.92
S 0.1425 0.7500 0.2860  3 H 2.83-2.98, 5 Th 2.84-2.92

[4]
ThH2S after structural relaxation. Source: the Alexandria database, functional GGA-PBE.

Size of the total moment: 0.00 μB/f.u.
V: 14.05 Å³ per atom
Polymorph energy (0 for the lowest one): 0 meV/atom
D(E_F): 0.00 states/eV/f.u.

Lattice parameters (Å, degrees): 3.9185 5.6093 5.1121 90.00 90.00 90.00
With the nearest neighbours (Å) after each atom.
Atoms (fractional coordinates):
Th 0.0000 0.5000 0.1999  6 H 2.30-2.31
Th 0.5000 0.0000 0.8001  6 H 2.30-2.31
H 0.0000 0.2000 0.8942  3 H 2.24-2.31, 3 Th 2.30-2.31
H 0.0000 0.8000 0.8942  3 H 2.24-2.31, 3 Th 2.30-2.31
H 0.5000 0.3000 0.1058  3 H 2.24-2.31, 3 Th 2.30-2.31
H 0.5000 0.7000 0.1058  3 H 2.24-2.31, 3 Th 2.30-2.31
S 0.0000 0.0000 0.3863  8 H 2.75-2.95, 4 Th 2.88-2.96
S 0.5000 0.5000 0.6137  8 H 2.75-2.95, 4 Th 2.88-2.96

[5]
ThHS after structural relaxation. Source: the Alexandria database, functional GGA-PBE.

Size of the total moment: 0.01 μB/f.u.
V: 17.74 Å³ per atom
Energy: -5.974 eV/atom
D(E_F): 1.99 states/eV/f.u.

Lattice parameters (Å, degrees): 3.5052 3.5052 4.9905 110.56 110.56 90.00
With the nearest neighbours (Å) after each atom.
Atoms (fractional coordinates):
H 0.0338 0.0338 0.0676  1 S 2.48, 4 Th 2.66
S 0.3199 0.3199 0.6398  1 H 2.48
Th 0.6463 0.6463 0.2926  4 H 2.66, 5 S 2.83-2.90

[6]
ThHS after structural relaxation. Source: the Alexandria database, functional GGA-PBE.

Size of the total moment: 0.62 μB/f.u.
V: 20.93 Å³ per atom
Energy: -5.970 eV/atom
D(E_F): 3.04 states/eV/f.u.

Lattice parameters (Å, degrees): 4.4614 4.4614 4.4614 60.00 60.00 60.00
With the nearest neighbours (Å) after each atom.
Atoms (fractional coordinates):
H 0.0000 0.0000 0.0000  4 Th 2.73
S 0.5000 0.5000 0.5000  4 Th 2.73
Th 0.2500 0.2500 0.2500  4 S 2.73, 4 H 2.73